The following is a PBE with a Hubbard U calculation of InCo2BrO after structural relaxation, from the Alexandria database.

Geometry as POSCAR:
```
InCo2BrO
1.0
-0.733 -4.091 1.060
2.353 0.690 4.287
-3.700 1.141 1.847
Br Co In O
1 2 1 1
Cartesian
-1.040 -1.130 3.597 Br
-0.366 -2.046 0.530 Co
-1.850 0.571 0.923 Co
1.177 0.345 2.144 In
0.000 0.000 0.000 O
```

**Total DFT energy (no corrections)**: -3.851 eV/atom